(1)
This record from Alexandria via LeMat-Bulk describes a relaxed structure of Pu3Cd3Hg2. The functional is PBE-GGA.

The structure belongs to space group P-1 (No. 2); the cell edges are 4.7035, 4.9497 and 9.1496 Å and the angles 74.34°, 75.15° and 90.00°. Symmetry generates all atoms from Pu at (0.0000, 0.0000, 0.0000), Pu at (0.3770, 0.8777, 0.2452), Cd at (0.1319, 0.6324, 0.7358), Cd at (0.5000, 0.5000, 0.0000) and Hg at (0.2491, 0.2492, 0.5023).

As for the offset from the most stable computed form: 0.0000 eV/atom. The energy of formation from the pure elements comes out at -4.40 kJ/mol of atoms.

=====

(2)
This record from Alexandria via LeMat-Bulk describes a relaxed structure of Ba3Sr2Ca2Hg4. The functional is PBE-GGA.

The structure belongs to space group P-3m1 (No. 164); the cell edges are 5.8326, 5.8326 and 14.2752 Å and the angles 90.00°, 90.00° and 120.00°. Symmetry generates all atoms from Ba at (0.0000, 0.0000, 0.0000), Ba at (0.0000, 0.0000, 0.2731), Sr at (0.3333, 0.6667, 0.5832), Ca at (0.3333, 0.6667, 0.1226), Hg at (0.3333, 0.6667, 0.3496) and Hg at (0.3333, 0.6667, 0.8719).

The energy of formation from the pure elements comes out at -31.22 kJ/mol of atoms.

=====

(3)
This record from Alexandria via LeMat-Bulk describes a relaxed structure of Nd4CdPd. The functional is PBE-GGA.

The structure belongs to space group F-43m (No. 216); the cell edges are 14.1633, 14.1633 and 14.1633 Å and the angles 90.00°, 90.00° and 90.00°. Symmetry generates all atoms from Nd at (0.0000, 0.0000, 0.1855), Nd at (0.0570, 0.2500, 0.2500), Nd at (0.1021, 0.1021, 0.6021), Cd at (0.1694, 0.1694, 0.8306) and Pd at (0.1060, 0.1060, 0.3940).

As for the offset from the most stable computed form: 0.0000 eV/atom. The energy of formation from the pure elements comes out at -38.18 kJ/mol of atoms.

=====

(4)
This record from Alexandria via LeMat-Bulk describes a relaxed structure of InGa2Sn2. The functional is PBE-GGA.

The structure belongs to space group P4/mbm (No. 127); the cell edges are 8.7607, 8.7607 and 3.2428 Å and the angles 90.00°, 90.00° and 90.00°. Symmetry generates all atoms from In at (0.0000, 0.0000, 0.0000), Ga at (0.1469, 0.3531, 0.5000) and Sn at (0.1475, 0.6475, 0.0000).

As for the offset from the most stable computed form: 0.0000 eV/atom. The energy of formation from the pure elements comes out at 5.37 kJ/mol of atoms.

=====

(5)
This record from Alexandria via LeMat-Bulk describes a relaxed structure of CaCd2Pb. The functional is PBE-GGA.

The structure belongs to space group R3m (No. 160, hexagonal axes); the cell edges are 3.6981, 3.6981 and 29.7491 Å and the angles 90.00°, 90.00° and 120.00°. Symmetry generates all atoms from Ca at (0.0000, 0.0000, 0.0000), Cd at (0.0000, 0.0000, 0.4169), Cd at (0.0000, 0.0000, 0.5828) and Pb at (0.0000, 0.0000, 0.8328).

The energy of formation from the pure elements comes out at -9.23 kJ/mol of atoms.

=====

(6)
This record from Alexandria via LeMat-Bulk describes a relaxed structure of Rb6AgAu2. The functional is PBE-GGA.

The structure belongs to space group Immm (No. 71); the cell edges are 11.5190, 12.0339 and 12.8002 Å and the angles 90.00°, 90.00° and 90.00°. Symmetry generates all atoms from Rb at (0.0000, 0.1874, 0.2482), Rb at (0.1762, 0.5000, 0.1579), Rb at (0.2184, 0.3286, 0.5000), Ag at (0.0000, 0.0000, 0.0000), Ag at (0.0000, 0.0000, 0.5000), Au at (0.0000, 0.3124, 0.0000) and Au at (0.0000, 0.5000, 0.3861).

As for the offset from the most stable computed form: 0.0000 eV/atom. The energy of formation from the pure elements comes out at -10.84 kJ/mol of atoms.

=====

Calculated spin magnetization, 17.5, 0.0, 0.0, 0.0, 0.0, 0.0 μB/cell (same order as the records).